(1)
ScTlFeCu (PBE, optimized geometry); density = 8.86 g cm⁻³; space-group type = F-43m, No. 216
1.0
0.000 3.258 3.258
3.258 0.000 3.258
3.258 3.258 0.000
Sc Tl Fe Cu
1 1 1 1
Direct
0.000 0.000 0.000
0.250 0.250 0.250
0.750 0.750 0.750
0.500 0.500 0.500

(2)
ScTlFeCu (PBE, optimized geometry); density = 9.13 g cm⁻³; space-group type = F-43m, No. 216
1.0
0.000 3.224 3.224
3.224 0.000 3.224
3.224 3.224 0.000
Sc Tl Fe Cu
1 1 1 1
Direct
0.000 0.000 0.000
0.500 0.500 0.500
0.250 0.250 0.250
0.750 0.750 0.750

Ranking the structures above from most stable to least stable yields (2), (1).